(1)
BeNb2Fe5B2: optimized geometry, GGA-PBE.

POSCAR file:
```
BeNb2Fe5B2
1.0
-1.138 2.618 -0.518
-3.854 -0.171 7.610
6.837 3.673 3.545
B Fe Nb Be
4 10 4 2
Direct
0.000 0.624 0.876
0.000 0.124 0.624
0.000 0.876 0.376
0.000 0.376 0.124
0.500 0.000 0.500
0.500 0.434 0.288
0.500 0.500 0.000
0.500 0.212 0.066
0.500 0.712 0.434
0.500 0.788 0.934
0.500 0.566 0.712
0.500 0.066 0.788
0.500 0.288 0.566
0.500 0.934 0.212
0.000 0.323 0.823
0.000 0.177 0.323
0.000 0.823 0.677
0.000 0.677 0.177
0.000 0.500 0.500
0.000 0.000 0.000
```

=====

(2)
BeNb2FeB: optimized geometry, GGA-PBE.

POSCAR file:
```
BeNb2FeB
1.0
-0.125 -0.291 -4.485
1.428 -3.510 0.188
-4.164 -1.682 0.225
Nb B Be Fe
2 1 1 1
Direct
0.000 0.000 0.500
0.500 0.000 0.000
0.500 0.500 0.500
0.000 0.500 0.000
0.000 0.000 0.000
```

=====

(3)
BeFeBRu: optimized geometry, GGA-PBE.

POSCAR file:
```
BeFeBRu
1.0
3.757 0.000 0.000
1.879 3.254 0.000
1.879 1.085 3.068
Ru Fe B Be
1 1 1 1
Direct
0.000 0.000 0.000
0.500 0.500 0.500
0.250 0.250 0.250
0.750 0.750 0.750
```

=====

(4)
Sc2BeFe5B2: optimized geometry, GGA-PBE.

POSCAR file:
```
Sc2BeFe5B2
1.0
2.998 0.000 0.000
0.000 8.578 0.000
0.000 0.000 8.578
Fe B Sc Be
10 4 4 2
Direct
0.500 0.933 0.209
0.500 0.567 0.709
0.500 0.067 0.791
0.500 0.500 0.000
0.500 0.433 0.291
0.500 0.791 0.933
0.500 0.709 0.433
0.500 0.000 0.500
0.500 0.209 0.067
0.500 0.291 0.567
0.000 0.625 0.875
0.000 0.375 0.125
0.000 0.875 0.375
0.000 0.125 0.625
0.000 0.173 0.327
0.000 0.327 0.827
0.000 0.673 0.173
0.000 0.827 0.673
0.000 0.000 0.000
0.000 0.500 0.500
```

=====

(5)
Sc2Be12FeB3: optimized geometry, GGA-PBE.

POSCAR file:
```
Sc2Be12FeB3
1.0
6.620 0.040 0.029
3.304 5.737 0.029
3.304 1.923 5.405
Be B Sc Fe
12 3 2 1
Direct
0.146 0.146 0.540
0.084 0.741 0.741
0.854 0.460 0.854
0.259 0.916 0.259
0.854 0.854 0.460
0.460 0.854 0.854
0.916 0.259 0.259
0.146 0.540 0.146
0.259 0.259 0.916
0.741 0.741 0.084
0.741 0.084 0.741
0.540 0.146 0.146
0.000 0.000 0.500
0.500 0.000 0.000
0.000 0.500 0.000
0.410 0.410 0.410
0.590 0.590 0.590
0.000 0.000 0.000
```

=====

(6)
SrBeFe2B: optimized geometry, GGA-PBE.

POSCAR file:
```
SrBeFe2B
1.0
-3.282 -0.234 2.244
-0.047 -5.039 -0.594
2.256 -0.405 3.257
Fe Sr B Be
2 1 1 1
Direct
0.500 0.000 0.000
0.000 0.000 0.500
0.000 0.500 0.000
0.000 0.000 0.000
0.500 0.500 0.500
```

=====

(7)
TaBeFeB2: optimized geometry, GGA-PBE.

POSCAR file:
```
TaBeFeB2
1.0
3.734 0.000 0.000
0.000 4.587 0.000
0.000 0.000 3.734
B Fe Be Ta
2 1 1 1
Direct
0.500 0.000 0.000
0.000 0.000 0.500
0.000 0.000 0.000
0.500 0.500 0.500
0.000 0.500 0.000
```

=====

(8)
Ta2BeFe5B2: optimized geometry, GGA-PBE.

POSCAR file:
```
Ta2BeFe5B2
1.0
-2.038 1.232 1.677
-5.829 -5.284 -3.204
1.686 -5.598 6.163
Fe B Ta Be
10 4 4 2
Direct
0.500 0.500 0.000
0.500 0.567 0.712
0.500 0.933 0.212
0.500 0.067 0.788
0.500 0.212 0.067
0.500 0.433 0.288
0.500 0.712 0.433
0.500 0.000 0.500
0.500 0.788 0.933
0.500 0.288 0.567
0.000 0.124 0.624
0.000 0.624 0.876
0.000 0.376 0.124
0.000 0.876 0.376
0.000 0.677 0.177
0.000 0.823 0.677
0.000 0.177 0.323
0.000 0.323 0.823
0.000 0.000 0.000
0.000 0.500 0.500
```

=====

The evaluated E for the records listed, in turn: -8.29 -6.66 -7.14 -7.50 -4.43 -5.00 -6.54 -8.71 eV per atom.
The evaluated energy of formation for the records listed, in turn: -32.4 110.4 -10.2 -28.0 32.4 77.0 90.2 -38.3 kJ/mol of atoms.